Entry 1:
The following is a PBE calculation of a relaxed FeAsRu2 crystal, from the Alexandria database.

Values from the calculation:
DFT formation energy   143 kJ/mol of formula units
Fermi-level density of states   9.80 states/eV/cell
Volume   116.3 Å³/cell
Raw total energy   -7.546 eV/atom

Cell: 2.957 4.765 8.252 Å, 90.00 90.00 90.00°
Space group Cmmm (No. 65)
Asymmetric unit:
Fe  0.000  0.000  0.000 (multiplicity 2)
As  0.000  0.000  0.500 (multiplicity 2)
Ru  0.000  0.500  0.251 (multiplicity 4)

Entry 2:
The following is a PBE calculation of a relaxed FeAsRu2 crystal, from the Alexandria database.

Values from the calculation:
DFT formation energy   13 kJ/mol of formula units
Fermi-level density of states   3.40 states/eV/cell
Volume   55.4 Å³/cell
Raw total energy   -7.882 eV/atom

Cell: 3.030 3.030 6.036 Å, 90.00 90.00 90.00°
Space group P4/mmm (No. 123)
Asymmetric unit:
Fe  0.000  0.000  0.000 (multiplicity 1)
As  0.000  0.000  0.500 (multiplicity 1)
Ru  0.500  0.500  0.253 (multiplicity 2)

Entry 3:
The following is a PBE calculation of a relaxed FeAs2Ru crystal, from the Alexandria database.

Values from the calculation:
DFT formation energy   122 kJ/mol of formula units
Fermi-level density of states   8.93 states/eV/cell
Energy above the most stable polymorph in this dataset   380 meV per atom
Volume   121.3 Å³/cell
Raw total energy   -6.442 eV/atom

Cell: 3.007 5.114 7.887 Å, 90.00 90.00 90.00°
Space group Cmmm (No. 65)
Asymmetric unit:
Fe  0.000  0.000  0.000 (multiplicity 2)
As  0.000  0.500  0.245 (multiplicity 4)
Ru  0.000  0.000  0.500 (multiplicity 2)

Entry 4:
The following is a PBE calculation of a relaxed Fe2As2Ru crystal, from the Alexandria database.

Values from the calculation:
DFT formation energy   34 kJ/mol of formula units
Fermi-level density of states   6.83 states/eV/cell
Volume   136.9 Å³/cell
Raw total energy   -7.030 eV/atom

Cell: 6.718 6.718 3.033 Å, 90.00 90.00 90.00°
Space group P4/mbm (No. 127)
Asymmetric unit:
Fe  0.133  0.367  0.000 (multiplicity 4)
As  0.162  0.662  0.500 (multiplicity 4)
Ru  0.000  0.000  0.500 (multiplicity 2)

Number 3 is which compound? FeAs2Ru

What is the raw total energy in the second record? -7.882 eV/atom

Among the records above, which one has the highest raw total energy? FeAs2Ru